Record 1
Compound: CoOsCl
Source: Alexandria
Functional: PBE
Structure: optimized geometry

CIF file:
```
data_CoOsCl
_chemical_formula_sum 'Co2 Os2 Cl2'
_cell_length_a 2.841
_cell_length_b 2.841
_cell_length_c 11.457
_cell_angle_alpha 90.00
_cell_angle_beta 90.00
_cell_angle_gamma 90.00
_space_group_name_H-M_alt 'I 4 m m'
_space_group_IT_number 107
_space_group_name_Hall 'I 4 -2'
loop_
_atom_site_label
_atom_site_type_symbol
_atom_site_fract_x
_atom_site_fract_y
_atom_site_fract_z
_atom_site_occupancy
Co1 Co 0.000 0.000 0.000 1
Os1 Os 0.000 0.000 0.620 1
Cl1 Cl 0.000 0.000 0.285 1
```

Record 2
Compound: Co4OsCl
Source: Alexandria
Functional: PBE
Structure: optimized geometry

CIF file:
```
data_Co4OsCl
_chemical_formula_sum 'Co16 Os4 Cl4'
_cell_length_a 6.801
_cell_length_b 6.801
_cell_length_c 6.801
_cell_angle_alpha 90.00
_cell_angle_beta 90.00
_cell_angle_gamma 90.00
_space_group_name_H-M_alt 'F -4 3 m'
_space_group_IT_number 216
_space_group_name_Hall 'F -4 2 3'
loop_
_atom_site_label
_atom_site_type_symbol
_atom_site_fract_x
_atom_site_fract_y
_atom_site_fract_z
_atom_site_occupancy
Co1 Co 0.124 0.124 0.124 1
Os1 Os 0.250 0.250 0.750 1
Cl1 Cl 0.000 0.000 0.500 1
```

Record 3
Compound: CoOsCl3
Source: Alexandria
Functional: PBE
Structure: optimized geometry

CIF file:
```
data_CoOsCl3
_chemical_formula_sum 'Co1 Os1 Cl3'
_cell_length_a 4.777
_cell_length_b 4.777
_cell_length_c 4.777
_cell_angle_alpha 90.00
_cell_angle_beta 90.00
_cell_angle_gamma 90.00
_space_group_name_H-M_alt 'P m -3 m'
_space_group_IT_number 221
_space_group_name_Hall '-P 4 2 3'
loop_
_atom_site_label
_atom_site_type_symbol
_atom_site_fract_x
_atom_site_fract_y
_atom_site_fract_z
_atom_site_occupancy
Co1 Co 0.000 0.000 0.000 1
Os1 Os 0.500 0.500 0.500 1
Cl1 Cl 0.000 0.500 0.500 1
```

Record 4
Compound: Co2OsCl
Source: Alexandria
Functional: PBE
Structure: optimized geometry

CIF file:
```
data_Co2OsCl
_chemical_formula_sum 'Co8 Os4 Cl4'
_cell_length_a 5.895
_cell_length_b 5.895
_cell_length_c 5.895
_cell_angle_alpha 90.00
_cell_angle_beta 90.00
_cell_angle_gamma 90.00
_space_group_name_H-M_alt 'F -4 3 m'
_space_group_IT_number 216
_space_group_name_Hall 'F -4 2 3'
loop_
_atom_site_label
_atom_site_type_symbol
_atom_site_fract_x
_atom_site_fract_y
_atom_site_fract_z
_atom_site_occupancy
Co1 Co 0.000 0.000 0.000 1
Co2 Co 0.250 0.250 0.250 1
Os1 Os 0.250 0.250 0.750 1
Cl1 Cl 0.000 0.000 0.500 1
```

Record 5
Compound: Co2OsCl
Source: Alexandria
Functional: PBE
Structure: optimized geometry

CIF file:
```
data_Co2OsCl
_chemical_formula_sum 'Co2 Os1 Cl1'
_cell_length_a 2.798
_cell_length_b 3.004
_cell_length_c 6.786
_cell_angle_alpha 90.00
_cell_angle_beta 90.00
_cell_angle_gamma 90.00
_space_group_name_H-M_alt 'P m m 2'
_space_group_IT_number 25
loop_
_space_group_symop_operation_xyz
'x,y,z'
'-x,-y,z'
'-x,y,z'
'x,-y,z'
loop_
_atom_site_label
_atom_site_type_symbol
_atom_site_fract_x
_atom_site_fract_y
_atom_site_fract_z
_atom_site_occupancy
Co1 Co 0.000 0.000 0.000 1
Co2 Co 0.500 0.500 0.195 1
Os1 Os 0.000 0.000 0.398 1
Cl1 Cl 0.500 0.000 0.714 1
```

Record 6
Compound: Co2OsCl
Source: Alexandria
Functional: PBE
Structure: optimized geometry

CIF file:
```
data_Co2OsCl
_chemical_formula_sum 'Co8 Os4 Cl4'
_cell_length_a 5.680
_cell_length_b 5.680
_cell_length_c 8.405
_cell_angle_alpha 90.00
_cell_angle_beta 90.00
_cell_angle_gamma 90.00
_space_group_name_H-M_alt 'I -4 2 d'
_space_group_IT_number 122
_space_group_name_Hall 'I -4 2bw'
loop_
_atom_site_label
_atom_site_type_symbol
_atom_site_fract_x
_atom_site_fract_y
_atom_site_fract_z
_atom_site_occupancy
Co1 Co 0.246 0.250 0.125 1
Os1 Os 0.000 0.000 0.000 1
Cl1 Cl 0.000 0.000 0.500 1
```

Record 7
Compound: CoOsCl
Source: Alexandria
Functional: PBE
Structure: optimized geometry

CIF file:
```
data_CoOsCl
_chemical_formula_sum 'Co4 Os4 Cl4'
_cell_length_a 5.735
_cell_length_b 5.735
_cell_length_c 5.735
_cell_angle_alpha 90.00
_cell_angle_beta 90.00
_cell_angle_gamma 90.00
_space_group_name_H-M_alt 'F -4 3 m'
_space_group_IT_number 216
_space_group_name_Hall 'F -4 2 3'
loop_
_atom_site_label
_atom_site_type_symbol
_atom_site_fract_x
_atom_site_fract_y
_atom_site_fract_z
_atom_site_occupancy
Co1 Co 0.000 0.000 0.000 1
Os1 Os 0.250 0.250 0.750 1
Cl1 Cl 0.000 0.000 0.500 1
```

Record 8
Compound: CoOsCl
Source: Alexandria
Functional: PBE
Structure: optimized geometry

CIF file:
```
data_CoOsCl
_chemical_formula_sum 'Co4 Os4 Cl4'
_cell_length_a 2.778
_cell_length_b 5.035
_cell_length_c 12.617
_cell_angle_alpha 90.00
_cell_angle_beta 90.00
_cell_angle_gamma 90.00
_space_group_name_H-M_alt 'F m m 2'
_space_group_IT_number 42
_space_group_name_Hall 'F 2 -2'
loop_
_atom_site_label
_atom_site_type_symbol
_atom_site_fract_x
_atom_site_fract_y
_atom_site_fract_z
_atom_site_occupancy
Co1 Co 0.000 0.000 0.000 1
Os1 Os 0.000 0.000 0.344 1
Cl1 Cl 0.000 0.000 0.650 1
```

Record 9
Compound: Co2OsCl
Source: Alexandria
Functional: PBE
Structure: optimized geometry

CIF file:
```
data_Co2OsCl
_chemical_formula_sum 'Co6 Os3 Cl3'
_cell_length_a 2.7724
_cell_length_b 2.7724
_cell_length_c 24.3878
_cell_angle_alpha 90.00
_cell_angle_beta 90.00
_cell_angle_gamma 120.00
_space_group_name_H-M_alt 'R 3 m'
_space_group_IT_number 160
_space_group_name_Hall 'R 3 -2"'
loop_
_atom_site_label
_atom_site_type_symbol
_atom_site_fract_x
_atom_site_fract_y
_atom_site_fract_z
_atom_site_occupancy
Co1 Co 0.0000 0.0000 0.0000 1
Co2 Co 0.0000 0.0000 0.2540 1
Os1 Os 0.0000 0.0000 0.7460 1
Cl1 Cl 0.0000 0.0000 0.5151 1
```

Record 10
Compound: Co2OsCl
Source: Alexandria
Functional: PBE
Structure: optimized geometry

CIF file:
```
data_Co2OsCl
_chemical_formula_sum 'Co4 Os2 Cl2'
_cell_length_a 2.724
_cell_length_b 4.632
_cell_length_c 9.897
_cell_angle_alpha 90.00
_cell_angle_beta 90.00
_cell_angle_gamma 90.00
_space_group_name_H-M_alt 'C m m 2'
_space_group_IT_number 35
loop_
_space_group_symop_operation_xyz
'x,y,z'
'-x,-y,z'
'-x,y,z'
'x,-y,z'
'x+1/2,y+1/2,z'
'-x+1/2,-y+1/2,z'
'-x+1/2,y+1/2,z'
'x+1/2,-y+1/2,z'
loop_
_atom_site_label
_atom_site_type_symbol
_atom_site_fract_x
_atom_site_fract_y
_atom_site_fract_z
_atom_site_occupancy
Co1 Co 0.000 0.000 0.000 1
Co2 Co 0.000 0.500 0.200 1
Os1 Os 0.000 0.500 0.787 1
Cl1 Cl 0.000 0.000 0.392 1
```

Record 11
Compound: Co2OsCl
Source: Alexandria
Functional: PBE
Structure: optimized geometry

CIF file:
```
data_Co2OsCl
_chemical_formula_sum 'Co2 Os1 Cl1'
_cell_length_a 4.530
_cell_length_b 4.530
_cell_length_c 2.680
_cell_angle_alpha 90.00
_cell_angle_beta 90.00
_cell_angle_gamma 90.00
_space_group_name_H-M_alt 'P 4/m m m'
_space_group_IT_number 123
_space_group_name_Hall '-P 4 2'
loop_
_atom_site_label
_atom_site_type_symbol
_atom_site_fract_x
_atom_site_fract_y
_atom_site_fract_z
_atom_site_occupancy
Co1 Co 0.000 0.500 0.000 1
Os1 Os 0.000 0.000 0.500 1
Cl1 Cl 0.500 0.500 0.500 1
```

Record 12
Compound: Co3OsCl
Source: Alexandria
Functional: PBE
Structure: optimized geometry

CIF file:
```
data_Co3OsCl
_chemical_formula_sum 'Co3 Os1 Cl1'
_cell_length_a 4.078
_cell_length_b 4.078
_cell_length_c 4.078
_cell_angle_alpha 90.00
_cell_angle_beta 90.00
_cell_angle_gamma 90.00
_space_group_name_H-M_alt 'P m -3 m'
_space_group_IT_number 221
_space_group_name_Hall '-P 4 2 3'
loop_
_atom_site_label
_atom_site_type_symbol
_atom_site_fract_x
_atom_site_fract_y
_atom_site_fract_z
_atom_site_occupancy
Co1 Co 0.000 0.000 0.500 1
Os1 Os 0.500 0.500 0.500 1
Cl1 Cl 0.000 0.000 0.000 1
```

| no. | formation energy without anion corrections (eV per atom) | magnetization (μB per formula unit) |
| --- | --- | --- |
| 1 | 0.759 | 0.00 |
| 2 | 0.825 | 8.93 |
| 3 | 0.912 | 3.30 |
| 4 | 1.034 | 1.53 |
| 5 | 0.496 | 2.42 |
| 6 | 0.890 | 0.00 |
| 7 | 1.117 | 0.00 |
| 8 | 0.743 | 1.97 |
| 9 | 0.533 | 3.35 |
| 10 | 0.668 | 4.00 |
| 11 | 0.871 | 4.19 |
| 12 | 1.183 | 5.42 |